(1)
Here is GdHoSb after structural relaxation from Alexandria via LeMat-Bulk. Energies are from PBE.

Calculated values
volume = 84.41 Å³ per cell
size of the total moment = 2.6849 μB/atom

Lattice parameters (Å, degrees): 3.9887 3.9887 6.0083 109.39 109.39 90.00
Last column: nearest neighbours and their distance in Å.
Atoms (fractional coordinates):
Gd1 0.9608 0.9608 0.9216  5 Ho 3.27-3.48, 5 Sb 3.29-3.61
Sb1 0.6203 0.6203 0.2407  4 Ho 3.23, 5 Gd 3.29-3.61
Ho1 0.2689 0.2689 0.5377  4 Sb 3.23, 5 Gd 3.27-3.48

(2)
Here is GdHoSb2 after structural relaxation from Alexandria via LeMat-Bulk. Energies are from PBE.

Calculated values
volume = 120.62 Å³ per cell
size of the total moment = 1.7436 μB/atom

Lattice parameters (Å, degrees): 4.4027 4.4027 7.6217 73.21 73.21 60.00
Last column: nearest neighbours and their distance in Å.
Atoms (fractional coordinates):
Sb1 0.2488 0.2488 0.2537  3 Ho 3.10, 3 Gd 3.13
Gd1 0.0000 0.0000 0.0000  6 Sb 3.13
Ho1 0.5000 0.5000 0.5000  6 Sb 3.10
Sb2 0.7512 0.7512 0.7463  3 Ho 3.10, 3 Gd 3.13

Number 1: final energy -24.77 eV/f.u., ΔE_f (raw) -0.66 eV per atom. Number 2: final energy -31.46 eV/f.u., ΔE_f (raw) -1.14 eV per atom.